## MnTe2As (GGA-PBE)

Data for an optimized crystal structure of MnTe2As.

Results
Space-group type: No. 99

a = 3.510 Å, b = 3.510 Å, c = 7.840 Å
α = 90.00°, β = 90.00°, γ = 90.00°
Fractional positions:
Mn  0.000  0.000  0.000
Te  0.000  0.000  0.646
Te  0.500  0.500  0.241
As  0.500  0.500  0.896

## Mn2TeAs (GGA-PBE)

Data for an optimized crystal structure of Mn2TeAs.

Results
Energy above the lowest structure with this stoichiometry, meV/atom: 346
Space-group type: No. 160

a = 9.567 Å, b = 9.567 Å, c = 9.567 Å
α = 18.64°, β = 18.64°, γ = 18.64°
Fractional positions:
Mn  0.000  0.000  0.000
Mn  0.267  0.267  0.267
Te  0.740  0.740  0.740
As  0.541  0.541  0.541

## Mn2TeAs (GGA-PBE)

Data for an optimized crystal structure of Mn2TeAs.

Results
Energy above the lowest structure with this stoichiometry, meV/atom: 0
Space-group type: No. 12

a = 3.842 Å, b = 3.842 Å, c = 6.615 Å
α = 106.91°, β = 106.91°, γ = 59.87°
Fractional positions:
Mn  0.238  0.238  0.213
Mn  0.762  0.762  0.787
Te  0.000  0.000  0.500
As  0.500  0.500  0.000

## MnTeAs (GGA-PBE)

Data for an optimized crystal structure of MnTeAs.

Results
Space-group type: No. 216

a = 4.533 Å, b = 4.533 Å, c = 4.533 Å
α = 60.00°, β = 60.00°, γ = 60.00°
Fractional positions:
Mn  0.000  0.000  0.000
Te  0.750  0.750  0.750
As  0.250  0.250  0.250

## MnTeAs (GGA-PBE)

Data for an optimized crystal structure of MnTeAs.

Results
Space-group type: No. 156

a = 3.642 Å, b = 3.642 Å, c = 5.631 Å
α = 90.00°, β = 90.00°, γ = 120.00°
Fractional positions:
Mn  0.000  0.000  0.000
Te  0.667  0.333  0.293
As  0.333  0.667  0.773

## MnTe2As (GGA-PBE)

Data for an optimized crystal structure of MnTe2As.

Results
Space-group type: No. 44

a = 8.043 Å, b = 8.043 Å, c = 8.043 Å
α = 153.17°, β = 151.77°, γ = 39.34°
Fractional positions:
Mn  0.000  0.000  0.000
Te  0.313  0.813  0.500
Te  0.568  0.568  0.000
As  0.870  0.370  0.500

## MnTe2As (GGA-PBE)

Data for an optimized crystal structure of MnTe2As.

Results
Space-group type: No. 65

a = 3.212 Å, b = 3.212 Å, c = 9.636 Å
α = 90.00°, β = 90.00°, γ = 110.04°
Fractional positions:
Mn  0.000  0.000  0.000
Te  0.500  0.500  0.207
Te  0.500  0.500  0.793
As  0.000  0.000  0.500

## MnTeAs2 (GGA-PBE)

Data for an optimized crystal structure of MnTeAs2.

Results
Space-group type: No. 65

a = 4.881 Å, b = 4.881 Å, c = 3.592 Å
α = 90.00°, β = 90.00°, γ = 103.72°
Fractional positions:
Mn  0.000  0.000  0.000
Te  0.500  0.500  0.000
As  0.000  0.500  0.500
As  0.500  0.000  0.500

Listing size of the total moment for the structures above in their given order: 3.1 4.5 7.9 2.9 2.5 4.0 3.3 4.1 μB/f.u..
Listing formation energy without anion corrections for the structures above in their given order: 0.12 0.29 -0.06 0.08 -0.08 0.13 0.39 0.42 eV/atom.